No. 1
This record from Alexandria describes an optimized crystal structure of FeH2RhSe. The functional is PBE-GGA.

Space-group type: P4/mmm (123)
Final energy (eV per atom): -4.8202

Lattice parameters (Å, degrees): 3.4826 4.7402 3.4826 90.00 90.00 90.00
Positions (direct):
H  0.0000  0.0000  0.5000
H  0.5000  0.0000  0.0000
Fe  0.0000  0.0000  0.0000
Rh  0.5000  0.5000  0.5000
Se  0.0000  0.5000  0.0000

---

No. 2
This record from Alexandria describes an optimized crystal structure of FeSi2HRh. The functional is PBE-GGA.

Space-group type: P4/mmm (123)
Final energy (eV per atom): -5.0280

Lattice parameters (Å, degrees): 4.1856 4.7618 4.1856 90.00 90.00 90.00
Positions (direct):
Fe  0.0000  0.0000  0.0000
Si  0.5000  0.0000  0.0000
Si  0.0000  0.0000  0.5000
H  0.5000  0.5000  0.5000
Rh  0.0000  0.5000  0.0000

---

No. 3
This record from Alexandria describes an optimized crystal structure of Fe2SnHRh. The functional is PBE-GGA.

Space-group type: P4/mmm (123)
Final energy (eV per atom): -6.3978

Lattice parameters (Å, degrees): 3.8157 3.8157 4.1106 90.00 90.00 90.00
Positions (direct):
Sn  0.5000  0.5000  0.5000
Rh  0.0000  0.0000  0.5000
Fe  0.5000  0.0000  0.0000
Fe  0.0000  0.5000  0.0000
H  0.0000  0.0000  0.0000

---

No. 4
This record from Alexandria describes an optimized crystal structure of Ta2FeHRh. The functional is PBE-GGA.

Space-group type: P4/mmm (123)
Final energy (eV per atom): -8.6853

Lattice parameters (Å, degrees): 4.1039 4.1039 3.7786 90.00 90.00 90.00
Positions (direct):
H  0.0000  0.0000  0.0000
Fe  0.5000  0.5000  0.5000
Ta  0.5000  0.0000  0.0000
Ta  0.0000  0.5000  0.0000
Rh  0.0000  0.0000  0.5000

---

No. 5
This record from Alexandria describes an optimized crystal structure of Ta2FeHRh. The functional is PBE-GGA.

Space-group type: P4/mmm (123)
Final energy (eV per atom): -8.7796

Lattice parameters (Å, degrees): 4.1304 4.1304 3.6639 90.00 90.00 90.00
Positions (direct):
Rh  0.5000  0.5000  0.5000
Ta  0.5000  0.0000  0.0000
Ta  0.0000  0.5000  0.0000
Fe  0.0000  0.0000  0.5000
H  0.0000  0.0000  0.0000

---

No. 6
This record from Alexandria describes an optimized crystal structure of TaFeHRh2. The functional is PBE-GGA.

Space-group type: P4/mmm (123)
Final energy (eV per atom): -7.9171

Lattice parameters (Å, degrees): 3.8679 3.8679 4.0102 90.00 90.00 90.00
Positions (direct):
Ta  0.0000  0.0000  0.5000
Rh  0.5000  0.0000  0.0000
Rh  0.0000  0.5000  0.0000
Fe  0.5000  0.5000  0.5000
H  0.0000  0.0000  0.0000

---

No. 7
This record from Alexandria describes an optimized crystal structure of TaFeHRh2. The functional is PBE-GGA.

Space-group type: P4/mmm (123)
Final energy (eV per atom): -8.0018

Lattice parameters (Å, degrees): 3.8678 3.8678 3.8710 90.00 90.00 90.00
Positions (direct):
Fe  0.0000  0.0000  0.5000
Rh  0.0000  0.5000  0.0000
Rh  0.5000  0.0000  0.0000
H  0.0000  0.0000  0.0000
Ta  0.5000  0.5000  0.5000

---

No. 8
This record from Alexandria describes an optimized crystal structure of FeTc2HRh. The functional is PBE-GGA.

Space-group type: P4/mmm (123)
Final energy (eV per atom): -7.9210

Lattice parameters (Å, degrees): 3.8383 3.8383 3.8026 90.00 90.00 90.00
Positions (direct):
H  0.0000  0.0000  0.0000
Rh  0.5000  0.5000  0.5000
Tc  0.5000  0.0000  0.0000
Tc  0.0000  0.5000  0.0000
Fe  0.0000  0.0000  0.5000

---

No. 9
This record from Alexandria describes an optimized crystal structure of FeTcHRh2. The functional is PBE-GGA.

Space-group type: P4/mmm (123)
Final energy (eV per atom): -7.3200

Lattice parameters (Å, degrees): 3.8400 3.8400 3.8581 90.00 90.00 90.00
Positions (direct):
Fe  0.0000  0.0000  0.5000
H  0.0000  0.0000  0.0000
Rh  0.0000  0.5000  0.0000
Rh  0.5000  0.0000  0.0000
Tc  0.5000  0.5000  0.5000

---

No. 10
This record from Alexandria describes an optimized crystal structure of FeTcHRh2. The functional is PBE-GGA.

Space-group type: P4/mmm (123)
Final energy (eV per atom): -7.3305

Lattice parameters (Å, degrees): 3.8505 3.8505 3.9029 90.00 90.00 90.00
Positions (direct):
Rh  0.5000  0.0000  0.0000
Rh  0.0000  0.5000  0.0000
Tc  0.0000  0.0000  0.5000
H  0.0000  0.0000  0.0000
Fe  0.5000  0.5000  0.5000

---

No. 11
This record from Alexandria describes an optimized crystal structure of TiFeHRh2. The functional is PBE-GGA.

Space-group type: P4/mmm (123)
Final energy (eV per atom): -7.2513

Lattice parameters (Å, degrees): 3.8837 3.8837 3.8675 90.00 90.00 90.00
Positions (direct):
Rh  0.5000  0.0000  0.0000
Rh  0.0000  0.5000  0.0000
Fe  0.5000  0.5000  0.5000
H  0.0000  0.0000  0.0000
Ti  0.0000  0.0000  0.5000

---

No. 12
This record from Alexandria describes an optimized crystal structure of TiFeHRh2. The functional is PBE-GGA.

Space-group type: P4/mmm (123)
Final energy (eV per atom): -7.2857

Lattice parameters (Å, degrees): 3.9204 3.9204 3.7559 90.00 90.00 90.00
Positions (direct):
H  0.0000  0.0000  0.0000
Ti  0.5000  0.5000  0.5000
Rh  0.5000  0.0000  0.0000
Rh  0.0000  0.5000  0.0000
Fe  0.0000  0.0000  0.5000

---

No. 13
This record from Alexandria describes an optimized crystal structure of TiFeHRh2. The functional is PBE-GGA.

Space-group type: P4/mmm (123)
Final energy (eV per atom): -6.6518

Lattice parameters (Å, degrees): 4.7121 2.9788 4.7121 90.00 90.00 90.00
Positions (direct):
Rh  0.5000  0.0000  0.0000
Rh  0.0000  0.0000  0.5000
Fe  0.0000  0.0000  0.0000
Ti  0.5000  0.5000  0.5000
H  0.0000  0.5000  0.0000

---

No. 14
This record from Alexandria describes an optimized crystal structure of TlFeH2Rh. The functional is PBE-GGA.

Space-group type: P4/mmm (123)
Final energy (eV per atom): -4.4607

Lattice parameters (Å, degrees): 3.7090 5.0319 3.7090 90.00 90.00 90.00
Positions (direct):
H  0.0000  0.0000  0.5000
H  0.5000  0.0000  0.0000
Fe  0.0000  0.0000  0.0000
Rh  0.0000  0.5000  0.0000
Tl  0.5000  0.5000  0.5000

---

No. 15
This record from Alexandria describes an optimized crystal structure of V2FeHRh. The functional is PBE-GGA.

Space-group type: P4/mmm (123)
Final energy (eV per atom): -7.6658

Lattice parameters (Å, degrees): 3.8524 3.8524 3.5592 90.00 90.00 90.00
Positions (direct):
V  0.5000  0.0000  0.0000
V  0.0000  0.5000  0.0000
H  0.0000  0.0000  0.0000
Fe  0.0000  0.0000  0.5000
Rh  0.5000  0.5000  0.5000

---

No. 16
This record from Alexandria describes an optimized crystal structure of V2FeHRh. The functional is PBE-GGA.

Space-group type: P4/mmm (123)
Final energy (eV per atom): -5.6425

Lattice parameters (Å, degrees): 4.5494 4.4408 4.5494 90.00 90.00 90.00
Positions (direct):
Fe  0.0000  0.5000  0.0000
H  0.5000  0.5000  0.5000
V  0.5000  0.0000  0.0000
V  0.0000  0.0000  0.5000
Rh  0.0000  0.0000  0.0000

---

No. 17
This record from Alexandria describes an optimized crystal structure of V2FeHRh. The functional is PBE-GGA.

Space-group type: P4/mmm (123)
Final energy (eV per atom): -7.6041

Lattice parameters (Å, degrees): 3.7810 3.7810 3.7882 90.00 90.00 90.00
Positions (direct):
V  0.0000  0.5000  0.0000
V  0.5000  0.0000  0.0000
Fe  0.5000  0.5000  0.5000
Rh  0.0000  0.0000  0.5000
H  0.0000  0.0000  0.0000

---

No. 18
This record from Alexandria describes an optimized crystal structure of FeHRhW2. The functional is PBE-GGA.

Space-group type: P4/mmm (123)
Final energy (eV per atom): -8.9650

Lattice parameters (Å, degrees): 3.9467 3.9467 3.7691 90.00 90.00 90.00
Positions (direct):
H  0.0000  0.0000  0.0000
Rh  0.5000  0.5000  0.5000
W  0.0000  0.5000  0.0000
W  0.5000  0.0000  0.0000
Fe  0.0000  0.0000  0.5000

---

No. 19
This record from Alexandria describes an optimized crystal structure of Y2FeHRh. The functional is PBE-GGA.

Space-group type: P4/mmm (123)
Final energy (eV per atom): -6.8251

Lattice parameters (Å, degrees): 4.8640 4.8640 3.4362 90.00 90.00 90.00
Positions (direct):
Y  0.5000  0.0000  0.0000
Y  0.0000  0.5000  0.0000
H  0.0000  0.0000  0.0000
Fe  0.0000  0.0000  0.5000
Rh  0.5000  0.5000  0.5000

---

No. 20
This record from Alexandria describes an optimized crystal structure of Zn2FeHRh. The functional is PBE-GGA.

Space-group type: P4/mmm (123)
Final energy (eV per atom): -4.3530

Lattice parameters (Å, degrees): 4.1272 4.1272 3.2849 90.00 90.00 90.00
Positions (direct):
Zn  0.0000  0.5000  0.0000
Zn  0.5000  0.0000  0.0000
H  0.0000  0.0000  0.0000
Rh  0.5000  0.5000  0.5000
Fe  0.0000  0.0000  0.5000